(1)
Entry from the Alexandria database: a crystal of HgAsHBr2 relaxed with PBEsol (SCAN).

## Properties
For the density of states at the Fermi level, the calculation gives 2.304 states/eV/cell. For the total energy, the calculation gives -25.3657 eV per atom. For the mass density, the calculation gives 4.602 Mg/m³.

a b c (Å): 5.5116 5.5116 5.1821
angles (deg): 90.00 90.00 90.00
With the nearest neighbours (Å) after each atom.
Fractional coordinates of all 5 atoms:
Hg  0.0000  0.0000  0.0000  2 As 2.59, 4 Br 2.76
As  0.0000  0.0000  0.5000  2 Hg 2.59
H  0.5000  0.5000  0.5000  8 Br 3.78, 4 As 3.90
Br  0.0000  0.5000  0.0000  2 Hg 2.76
Br  0.5000  0.0000  0.0000  2 Hg 2.76

***

(2)
Entry from the Alexandria database: a crystal of HgAs2HBr relaxed with PBEsol (SCAN).

## Properties
For the density of states at the Fermi level, the calculation gives 2.549 states/eV/cell. For the total energy, the calculation gives -25.1161 eV per atom. For the mass density, the calculation gives 4.728 Mg/m³.

a b c (Å): 5.1542 5.1542 5.7024
angles (deg): 90.00 90.00 90.00
With the nearest neighbours (Å) after each atom.
Fractional coordinates of all 5 atoms:
Hg  0.0000  0.0000  0.0000  4 As 2.58, 2 Br 2.85
As  0.0000  0.5000  0.0000  2 Hg 2.58
As  0.5000  0.0000  0.0000  2 Hg 2.58
H  0.5000  0.5000  0.5000  4 Br 3.64, 8 As 3.84
Br  0.0000  0.0000  0.5000  2 Hg 2.85

***

(3)
Entry from the Alexandria database: a crystal of InAs2HBr relaxed with PBEsol (SCAN).

## Properties
For the density of states at the Fermi level, the calculation gives 1.239 states/eV/cell. For the total energy, the calculation gives -18.3700 eV per atom. For the mass density, the calculation gives 3.724 Mg/m³.

a b c (Å): 5.2498 5.2498 5.5913
angles (deg): 90.00 90.00 90.00
With the nearest neighbours (Å) after each atom.
Fractional coordinates of all 5 atoms:
In  0.0000  0.0000  0.0000  4 As 2.62, 2 Br 2.80
As  0.0000  0.5000  0.0000  2 In 2.62
As  0.5000  0.0000  0.0000  2 In 2.62
H  0.5000  0.5000  0.5000  4 Br 3.71, 8 As 3.83
Br  0.0000  0.0000  0.5000  2 In 2.80

***

(4)
Entry from the Alexandria database: a crystal of MnAs2HBr relaxed with PBEsol (SCAN).

## Properties
For the density of states at the Fermi level, the calculation gives 1.838 states/eV/cell. For the total energy, the calculation gives -15.7078 eV per atom. For the mass density, the calculation gives 4.561 Mg/m³.

a b c (Å): 4.4445 4.4445 5.2657
angles (deg): 90.00 90.00 90.00
With the nearest neighbours (Å) after each atom.
Fractional coordinates of all 5 atoms:
Mn  0.0000  0.0000  0.0000  4 As 2.22
As  0.0000  0.5000  0.0000  2 Mn 2.22
As  0.5000  0.0000  0.0000  2 Mn 2.22
H  0.5000  0.5000  0.5000  4 Br 3.14, 8 As 3.45
Br  0.0000  0.0000  0.5000  2 Mn 2.63

***

(5)
Entry from the Alexandria database: a crystal of NbAsHBr2 relaxed with PBEsol (SCAN).

## Properties
For the density of states at the Fermi level, the calculation gives 2.907 states/eV/cell. For the total energy, the calculation gives -18.4836 eV per atom. For the mass density, the calculation gives 6.635 Mg/m³.

a b c (Å): 4.8696 4.8696 3.4684
angles (deg): 90.00 90.00 90.00
With the nearest neighbours (Å) after each atom.
Fractional coordinates of all 5 atoms:
Nb  0.0000  0.0000  0.0000  8 Br 2.99
As  0.5000  0.5000  0.0000  2 H 1.73
H  0.5000  0.5000  0.5000  2 As 1.73
Br  0.0000  0.5000  0.5000  2 H 2.43
Br  0.5000  0.0000  0.5000  2 H 2.43

***

(6)
Entry from the Alexandria database: a crystal of AsHOsBr2 relaxed with PBEsol (SCAN).

## Properties
For the density of states at the Fermi level, the calculation gives 2.372 states/eV/cell. For the total energy, the calculation gives -25.4520 eV per atom. For the mass density, the calculation gives 9.231 Mg/m³.

a b c (Å): 4.7624 4.7624 3.3787
angles (deg): 90.00 90.00 90.00
With the nearest neighbours (Å) after each atom.
Fractional coordinates of all 5 atoms:
As  0.0000  0.0000  0.0000  2 H 1.69
H  0.0000  0.0000  0.5000  2 As 1.69
Os  0.5000  0.5000  0.0000  8 Br 2.92
Br  0.0000  0.5000  0.5000  2 H 2.38
Br  0.5000  0.0000  0.5000  2 H 2.38

***

(7)
Entry from the Alexandria database: a crystal of As2PHBr relaxed with PBEsol (SCAN).

## Properties
For the density of states at the Fermi level, the calculation gives 2.574 states/eV/cell. For the total energy, the calculation gives -13.6585 eV per atom. For the mass density, the calculation gives 3.701 Mg/m³.

a b c (Å): 4.7215 4.7215 5.2679
angles (deg): 90.00 90.00 90.00
With the nearest neighbours (Å) after each atom.
Fractional coordinates of all 5 atoms:
As  0.0000  0.5000  0.0000  2 P 2.36
As  0.5000  0.0000  0.0000  2 P 2.36
P  0.0000  0.0000  0.0000  4 As 2.36, 2 Br 2.63
H  0.5000  0.5000  0.5000  4 Br 3.34, 8 As 3.54
Br  0.0000  0.0000  0.5000  2 P 2.63

***

(8)
Entry from the Alexandria database: a crystal of As2HPtBr relaxed with PBEsol (SCAN).

## Properties
For the density of states at the Fermi level, the calculation gives 2.029 states/eV/cell. For the total energy, the calculation gives -25.8578 eV per atom. For the mass density, the calculation gives 5.696 Mg/m³.

a b c (Å): 4.7608 4.7608 5.4775
angles (deg): 90.00 90.00 90.00
With the nearest neighbours (Å) after each atom.
Fractional coordinates of all 5 atoms:
As  0.0000  0.5000  0.0000  2 Pt 2.38
As  0.5000  0.0000  0.0000  2 Pt 2.38
H  0.0000  0.0000  0.5000  4 Br 3.37, 8 As 3.63
Pt  0.5000  0.5000  0.0000  4 As 2.38
Br  0.5000  0.5000  0.5000  2 Pt 2.74

***

Number 1: V 157.4 Å³ per cell. Number 2: V 151.5 Å³ per cell. Number 3: V 154.1 Å³ per cell. Number 4: V 104.0 Å³ per cell. Number 5: V 82.2 Å³ per cell. Number 6: V 76.6 Å³ per cell. Number 7: V 117.4 Å³ per cell. Number 8: V 124.1 Å³ per cell.